Record 1
## Li2TlOs (PBE)

Data for crystalline Li2TlOs at its relaxed geometry. Values from VASP.

Quantum ESPRESSO input file:
```
&SYSTEM
  ibrav = 0, nat = 4, ntyp = 3
/
ATOMIC_SPECIES
Li 6.94 Li.upf
Os 190.23 Os.upf
Tl 204.38 Tl.upf
ATOMIC_POSITIONS angstrom
Li 1.0331 0.3216 4.4972
Li 5.0106 1.5596 2.4907
Os 7.5823 2.3601 3.5001
Tl 2.5274 0.7867 1.1667
CELL_PARAMETERS angstrom
5.0014 0.0028 0.0061
4.1195 2.8362 0.0061
0.9888 0.3078 4.6545
```

Output
Energy of formation: 1.3 eV per formula unit

Record 2
## Li2TlOs (PBE)

Data for crystalline Li2TlOs at its relaxed geometry. Values from VASP.

Quantum ESPRESSO input file:
```
&SYSTEM
  ibrav = 0, nat = 4, ntyp = 3
/
ATOMIC_SPECIES
Li 6.94 Li.upf
Os 190.23 Os.upf
Tl 204.38 Tl.upf
ATOMIC_POSITIONS angstrom
Li 0.1525 0.0888 0.1335
Li -0.3687 0.9670 2.5616
Os 2.1170 1.2328 1.8529
Tl 1.9113 2.2948 4.5572
CELL_PARAMETERS angstrom
-1.9708 2.2809 0.7341
-1.0813 -1.6948 2.3630
4.5762 2.6649 4.0054
```

Output
Energy of formation: 1.7 eV per formula unit

Record 3
## Li2TlOs (PBE)

Data for crystalline Li2TlOs at its relaxed geometry. Values from VASP.

Quantum ESPRESSO input file:
```
&SYSTEM
  ibrav = 0, nat = 4, ntyp = 3
/
ATOMIC_SPECIES
Li 6.94 Li.upf
Os 190.23 Os.upf
Tl 204.38 Tl.upf
ATOMIC_POSITIONS angstrom
Li 0.0153 0.0024 0.0014
Li 6.8638 1.0577 0.6203
Os 14.1846 2.1857 1.2819
Tl 21.2601 3.2760 1.9214
CELL_PARAMETERS angstrom
9.7052 0.0014 0.0008
9.2554 2.9203 0.0008
9.2554 1.4262 2.5484
```

Output
Energy of formation: 1.8 eV per formula unit

Record 4
## Li2TlOs (PBE)

Data for crystalline Li2TlOs at its relaxed geometry. Values from VASP.

Quantum ESPRESSO input file:
```
&SYSTEM
  ibrav = 0, nat = 4, ntyp = 3
/
ATOMIC_SPECIES
Li 6.94 Li.upf
Os 190.23 Os.upf
Tl 204.38 Tl.upf
ATOMIC_POSITIONS angstrom
Li 27.9956 4.2285 2.4784
Li 14.3819 2.1722 1.2732
Os 7.0629 1.0668 0.6253
Tl 21.1888 3.2004 1.8758
CELL_PARAMETERS angstrom
9.7057 0.0010 0.0006
9.2730 2.8655 0.0006
9.2730 1.4006 2.4999
```

Output
Energy of formation: 1.5 eV per formula unit

Record 5
## LiTlOs2 (PBE)

Data for crystalline LiTlOs2 at its relaxed geometry. Values from VASP.

Quantum ESPRESSO input file:
```
&SYSTEM
  ibrav = 0, nat = 4, ntyp = 3
/
ATOMIC_SPECIES
Li 6.94 Li.upf
Os 190.23 Os.upf
Tl 204.38 Tl.upf
ATOMIC_POSITIONS angstrom
Li 6.2740 -1.1326 4.5520
Os 7.9200 0.3435 6.0773
Os 4.2984 0.1864 3.2983
Tl 2.2012 -1.3093 1.4268
CELL_PARAMETERS angstrom
-1.2364 -1.7421 1.7098
1.5660 -1.0531 -1.9813
8.1456 0.3533 6.2504
```

Output
Energy of formation: 3.6 eV per formula unit
Energy above the lowest structure with this stoichiometry: 529 meV per atom

Record 6
## LiTm4Os3 (PBE)

Data for crystalline LiTm4Os3 at its relaxed geometry. Values from VASP.

Quantum ESPRESSO input file:
```
&SYSTEM
  ibrav = 0, nat = 8, ntyp = 3
/
ATOMIC_SPECIES
Tm 168.93 Tm.upf
Os 190.23 Os.upf
Li 6.94 Li.upf
ATOMIC_POSITIONS angstrom
Tm -2.9578 4.0076 1.0241
Tm -3.0370 -0.5521 2.2411
Tm -1.0376 1.4063 0.3581
Tm -4.9572 2.0493 2.9071
Os -0.0603 -0.6334 2.2985
Os -3.9215 1.3615 0.2699
Os -2.0732 2.0940 2.9953
Li -1.9391 -1.3248 -0.4160
CELL_PARAMETERS angstrom
-3.8782 -2.6496 -0.8320
-0.1207 -1.2668 4.5971
-1.9959 7.3720 -0.4999
```

Output
Energy of formation: -1.9 eV per formula unit

Record 7
## LiTmOs (PBE)

Data for crystalline LiTmOs at its relaxed geometry. Values from VASP.

Quantum ESPRESSO input file:
```
&SYSTEM
  ibrav = 0, nat = 6, ntyp = 3
/
ATOMIC_SPECIES
Li 6.94 Li.upf
Tm 168.93 Tm.upf
Os 190.23 Os.upf
ATOMIC_POSITIONS angstrom
Li 0.0000 0.0000 5.7268
Li 1.8735 1.8735 4.0737
Tm 0.0000 0.0000 2.0538
Tm 1.8735 1.8735 7.7467
Os 1.8735 1.8735 1.1931
Os 0.0000 0.0000 8.6075
CELL_PARAMETERS angstrom
3.7470 0.0000 0.0000
0.0000 3.7470 0.0000
-1.8735 -1.8735 9.8005
```

Output
Energy of formation: 1.2 eV per formula unit

Record 8
## LiTm4Os2 (PBE)

Data for crystalline LiTm4Os2 at its relaxed geometry. Values from VASP.

Quantum ESPRESSO input file:
```
&SYSTEM
  ibrav = 0, nat = 7, ntyp = 3
/
ATOMIC_SPECIES
Li 6.94 Li.upf
Tm 168.93 Tm.upf
Os 190.23 Os.upf
ATOMIC_POSITIONS angstrom
Li 0.0000 0.0000 0.0000
Tm 5.7764 3.5523 5.6471
Tm 0.8247 0.5072 5.4056
Tm 4.1219 2.5348 2.8976
Tm 2.4793 1.5247 8.1551
Os 4.9347 3.0346 8.3414
Os 1.6665 1.0248 2.7113
CELL_PARAMETERS angstrom
4.5801 0.0000 1.4309
2.0665 4.0874 1.4309
-0.0454 -0.0279 8.1908
```

Output
Energy of formation: -2.0 eV per formula unit

Record 9
## LiTmVOs (PBE)

Data for crystalline LiTmVOs at its relaxed geometry. Values from VASP.

Quantum ESPRESSO input file:
```
&SYSTEM
  ibrav = 0, nat = 4, ntyp = 4
/
ATOMIC_SPECIES
Tm 168.93 Tm.upf
Os 190.23 Os.upf
Li 6.94 Li.upf
V 50.94 V.upf
ATOMIC_POSITIONS angstrom
Tm -1.0938 -5.4436 -0.4296
Os -0.5469 -2.7218 -0.2148
Li -1.6407 -8.1654 -0.6444
V 0.0000 0.0000 0.0000
CELL_PARAMETERS angstrom
-1.5095 -3.2764 -2.7681
1.7853 -4.1754 0.2338
-2.4634 -3.4354 1.6750
```

Output
Energy of formation: 0.1 eV per formula unit

Record 10
## LiYTmOs (PBE)

Data for crystalline LiYTmOs at its relaxed geometry. Values from VASP.

Quantum ESPRESSO input file:
```
&SYSTEM
  ibrav = 0, nat = 4, ntyp = 4
/
ATOMIC_SPECIES
Y 88.91 Y.upf
Tm 168.93 Tm.upf
Os 190.23 Os.upf
Li 6.94 Li.upf
ATOMIC_POSITIONS angstrom
Y 7.3088 4.2197 2.9838
Tm 2.4363 1.4066 0.9946
Os 4.8725 2.8131 1.9892
Li 0.0000 0.0000 0.0000
CELL_PARAMETERS angstrom
4.8725 0.0000 0.0000
2.4363 4.2197 0.0000
2.4363 1.4066 3.9784
```

Output
Energy of formation: -1.0 eV per formula unit

Record 11
## LiUOs2 (PBE)

Data for crystalline LiUOs2 at its relaxed geometry. Values from VASP.

Quantum ESPRESSO input file:
```
&SYSTEM
  ibrav = 0, nat = 4, ntyp = 3
/
ATOMIC_SPECIES
Os 190.23 Os.upf
U 238.03 U.upf
Li 6.94 Li.upf
ATOMIC_POSITIONS angstrom
Os -1.7284 -7.1485 4.5376
Os -0.5996 -2.3028 1.3711
U -1.1640 -4.7256 2.9543
Li 0.0000 0.0000 0.0000
CELL_PARAMETERS angstrom
-2.5128 -1.2156 -0.2719
-0.2348 -2.4488 -1.3470
0.4197 -5.7869 7.5275
```

Output
Energy of formation: 1.4 eV per formula unit
Energy above the lowest structure with this stoichiometry: 398 meV per atom

Record 12
## LiUOs2 (PBE)

Data for crystalline LiUOs2 at its relaxed geometry. Values from VASP.

Quantum ESPRESSO input file:
```
&SYSTEM
  ibrav = 0, nat = 4, ntyp = 3
/
ATOMIC_SPECIES
Os 190.23 Os.upf
U 238.03 U.upf
Li 6.94 Li.upf
ATOMIC_POSITIONS angstrom
Os 2.2658 1.3081 0.9250
Os 6.7973 3.9244 2.7750
U 4.5315 2.6163 1.8500
Li 0.0000 0.0000 0.0000
CELL_PARAMETERS angstrom
4.5315 0.0000 0.0000
2.2658 3.9244 0.0000
2.2658 1.3081 3.7000
```

Output
Energy of formation: 0.4 eV per formula unit
Energy above the lowest structure with this stoichiometry: 157 meV per atom

Look up the energy of formation of the sixth one. -1.9 eV per formula unit

Copy entry 2 word for word.
## Li2TlOs (PBE)

Data for crystalline Li2TlOs at its relaxed geometry. Values from VASP.

Quantum ESPRESSO input file:
```
&SYSTEM
  ibrav = 0, nat = 4, ntyp = 3
/
ATOMIC_SPECIES
Li 6.94 Li.upf
Os 190.23 Os.upf
Tl 204.38 Tl.upf
ATOMIC_POSITIONS angstrom
Li 0.1525 0.0888 0.1335
Li -0.3687 0.9670 2.5616
Os 2.1170 1.2328 1.8529
Tl 1.9113 2.2948 4.5572
CELL_PARAMETERS angstrom
-1.9708 2.2809 0.7341
-1.0813 -1.6948 2.3630
4.5762 2.6649 4.0054
```

Output
Energy of formation: 1.7 eV per formula unit

Among the records above, which one has the lowest energy of formation? LiTm4Os2